Compound: Rb2BaCeS4
Source: Alexandria via LeMat-Bulk
Functional: PBE
Structure: optimized geometry

```
Rb2BaCeS4
1.0
-3.6575 4.1437 7.0818
-1.3042 -7.9638 3.9467
8.3224 2.4204 -3.1002
Rb Ba Ce S
4 2 2 8
Cartesian
-1.8287 2.0718 3.5409
2.3324 3.2820 1.9908
4.1612 1.2102 -1.5501
-2.4808 -1.9100 5.5143
-0.6521 -3.9819 1.9734
-0.1484 1.3720 7.5050
1.6804 -0.6999 3.9641
4.6649 6.5641 3.9816
6.4784 -2.9469 1.4249
1.2170 1.8649 4.7223
2.1438 -3.2646 3.2060
-3.1177 1.5472 6.5036
4.1687 -0.5157 5.3418
0.8523 -1.4803 6.5775
2.5085 0.0804 1.3508
-0.8079 -0.8841 2.5864
```

## Properties
* raw total energy: -4.958 eV per atom
* E_form (uncorrected): -1.6701 eV per atom